[1]
## AcTmPu2Se4 (PBE)

Data for a geometry-optimized AcTmPu2Se4 structure.

Output
N(E_F) = 20.17 states/eV/f.u.
energy relative to the elements, uncorrected = -1.616 eV per atom
V = 26.33 Å³ per atom

abc: 7.210 4.185 7.398
angles: 90.00 109.29 90.00
Space group P2/m (No. 10)
Symmetry-distinct sites (fractional):
Ac1 0.000 0.000 0.000 [1 per cell]
Tm1 0.000 0.500 0.500 [1 per cell]
Pu1 0.500 0.000 0.500 [1 per cell]
Pu2 0.500 0.500 0.000 [1 per cell]
Se1 0.248 0.000 0.735 [2 per cell]
Se2 0.260 0.500 0.270 [2 per cell]



[2]
## Ac2TmPuSe6 (PBE)

Data for a geometry-optimized Ac2TmPuSe6 structure.

Output
N(E_F) = 12.87 states/eV/f.u.
energy relative to the elements, uncorrected = -1.781 eV per atom
V = 32.46 Å³ per atom

abc: 7.5719 7.5719 19.6112
angles: 90.00 90.00 120.00
Space group R3 (No. 146, hexagonal axes)
Symmetry-distinct sites (fractional):
Ac1 0.0000 0.0000 0.0000 [3 per cell]
Ac2 0.0000 0.0000 0.5001 [3 per cell]
Tm1 0.0000 0.0000 0.2087 [3 per cell]
Pu1 0.0000 0.0000 0.7089 [3 per cell]
Se1 0.0601 0.3471 0.2806 [9 per cell]
Se2 0.0647 0.7084 0.7830 [9 per cell]



[3]
## Ac4TmPu3Se8 (PBE)

Data for a geometry-optimized Ac4TmPu3Se8 structure.

Output
N(E_F) = 27.94 states/eV/f.u.
energy relative to the elements, uncorrected = -1.710 eV per atom
V = 28.01 Å³ per atom

abc: 8.5310 8.5310 21.3350
angles: 90.00 90.00 120.00
Space group R-3m (No. 166, hexagonal axes)
Symmetry-distinct sites (fractional):
Ac1 0.0000 0.0000 0.0000 [3 per cell]
Ac2 0.0000 0.5000 0.0000 [9 per cell]
Tm1 0.0000 0.0000 0.5000 [3 per cell]
Pu1 0.0000 0.5000 0.5000 [9 per cell]
Se1 0.0000 0.0000 0.2424 [6 per cell]
Se2 0.0057 0.5029 0.2415 [18 per cell]



[4]
## Ac4Y3PuSe8 (PBE)

Data for a geometry-optimized Ac4Y3PuSe8 structure.

Output
N(E_F) = 16.19 states/eV/f.u.
energy relative to the elements, uncorrected = -1.780 eV per atom
V = 27.81 Å³ per atom

abc: 8.4687 8.4687 21.4928
angles: 90.00 90.00 120.00
Space group R-3m (No. 166, hexagonal axes)
Symmetry-distinct sites (fractional):
Ac1 0.0000 0.0000 0.0000 [3 per cell]
Ac2 0.0000 0.5000 0.0000 [9 per cell]
Y1 0.0000 0.5000 0.5000 [9 per cell]
Pu1 0.0000 0.0000 0.5000 [3 per cell]
Se1 0.0000 0.0000 0.2406 [6 per cell]
Se2 0.0025 0.5013 0.7589 [18 per cell]



[5]
## Ac2YPuSe4 (PBE)

Data for a geometry-optimized Ac2YPuSe4 structure.

Output
N(E_F) = 10.68 states/eV/f.u.
energy relative to the elements, uncorrected = -1.752 eV per atom
V = 27.98 Å³ per atom

abc: 7.393 4.251 7.529
angles: 90.00 108.93 90.00
Space group P2/m (No. 10)
Symmetry-distinct sites (fractional):
Ac1 0.000 0.000 0.000 [1 per cell]
Ac2 0.500 0.500 0.000 [1 per cell]
Y1 0.000 0.500 0.500 [1 per cell]
Pu1 0.500 0.000 0.500 [1 per cell]
Se1 0.239 0.000 0.724 [2 per cell]
Se2 0.256 0.500 0.274 [2 per cell]



[6]
## Ac2YPuSe6 (PBE)

Data for a geometry-optimized Ac2YPuSe6 structure.

Output
N(E_F) = 12.73 states/eV/f.u.
energy relative to the elements, uncorrected = -1.788 eV per atom
V = 32.92 Å³ per atom

abc: 7.5984 7.5984 19.7511
angles: 90.00 90.00 120.00
Space group R3 (No. 146, hexagonal axes)
Symmetry-distinct sites (fractional):
Ac1 0.0000 0.0000 0.0000 [3 per cell]
Ac2 0.0000 0.0000 0.4998 [3 per cell]
Y1 0.0000 0.0000 0.2082 [3 per cell]
Pu1 0.0000 0.0000 0.7079 [3 per cell]
Se1 0.0588 0.3513 0.2795 [9 per cell]
Se2 0.0613 0.7057 0.7809 [9 per cell]



[7]
## AcPu4Si4 (PBE)

Data for a geometry-optimized AcPu4Si4 structure.

Output
N(E_F) = 25.49 states/eV/f.u.
energy relative to the elements, uncorrected = -0.169 eV per atom
V = 25.05 Å³ per atom

abc: 9.109 9.109 5.434
angles: 90.00 90.00 90.00
Space group P4_2/n (No. 86, origin choice 2)
Symmetry-distinct sites (fractional):
Ac1 0.250 0.250 0.250 [2 per cell]
Pu1 0.113 0.851 0.615 [8 per cell]
Si1 0.000 0.108 0.878 [8 per cell]



[8]
## AcPuSi2 (PBE)

Data for a geometry-optimized AcPuSi2 structure.

Output
N(E_F) = 9.48 states/eV/f.u.
energy relative to the elements, uncorrected = -0.239 eV per atom
V = 26.62 Å³ per atom

abc: 4.6641 4.6641 16.9535
angles: 90.00 90.00 120.00
Space group R-3m (No. 166, hexagonal axes)
Symmetry-distinct sites (fractional):
Ac1 0.0000 0.0000 0.0000 [3 per cell]
Pu1 0.0000 0.0000 0.5000 [3 per cell]
Si1 0.0000 0.0000 0.2233 [6 per cell]



[9]
## Ac5PuSi4 (PBE)

Data for a geometry-optimized Ac5PuSi4 structure.

Output
N(E_F) = 18.94 states/eV/f.u.
energy relative to the elements, uncorrected = -0.233 eV per atom
V = 35.61 Å³ per atom

abc: 19.361 4.432 8.588
angles: 90.00 104.91 90.00
Space group C2/m (No. 12)
Symmetry-distinct sites (fractional):
Ac1 0.000 0.000 0.000 [2 per cell]
Ac2 0.163 0.500 0.839 [4 per cell]
Ac3 0.167 0.500 0.342 [4 per cell]
Pu1 0.000 0.000 0.500 [2 per cell]
Si1 0.000 0.500 0.269 [4 per cell]
Si2 0.162 0.000 0.594 [4 per cell]



[10]
## AcPuSi3 (PBE)

Data for a geometry-optimized AcPuSi3 structure.

Output
N(E_F) = 10.09 states/eV/f.u.
energy relative to the elements, uncorrected = -0.491 eV per atom
V = 22.84 Å³ per atom

abc: 4.516 25.200 4.013
angles: 90.00 90.00 90.00
Space group Cmcm (No. 63)
Symmetry-distinct sites (fractional):
Ac1 0.000 0.073 0.250 [4 per cell]
Pu1 0.000 0.205 0.750 [4 per cell]
Si1 0.000 0.322 0.750 [4 per cell]
Si2 0.000 0.376 0.250 [4 per cell]
Si3 0.000 0.475 0.250 [4 per cell]



[11]
## Ac2PuSi6 (PBE)

Data for a geometry-optimized Ac2PuSi6 structure.

Output
N(E_F) = 7.41 states/eV/f.u.
energy relative to the elements, uncorrected = -0.468 eV per atom
V = 22.02 Å³ per atom

abc: 7.2334 7.2334 4.3734
angles: 90.00 90.00 120.00
Space group P6/mmm (No. 191)
Symmetry-distinct sites (fractional):
Ac1 0.3333 0.6667 0.0000 [2 per cell]
Pu1 0.0000 0.0000 0.0000 [1 per cell]
Si1 0.0000 0.3262 0.5000 [6 per cell]



[12]
## Ac3PuSi3 (PBE)

Data for a geometry-optimized Ac3PuSi3 structure.

Output
N(E_F) = 11.29 states/eV/f.u.
energy relative to the elements, uncorrected = -0.258 eV per atom
V = 31.76 Å³ per atom

abc: 8.507 12.947 8.108
angles: 90.00 95.29 90.00
Space group C2/m (No. 12)
Symmetry-distinct sites (fractional):
Ac1 0.000 0.166 0.000 [4 per cell]
Ac2 0.000 0.229 0.500 [4 per cell]
Ac3 0.120 0.500 0.841 [4 per cell]
Pu1 0.247 0.000 0.590 [4 per cell]
Si1 0.050 0.000 0.292 [4 per cell]
Si2 0.186 0.335 0.204 [8 per cell]